DFT (GGA-PBE) results for crystalline GeAs2Pb2 at its relaxed geometry.

Cell: 9.525 9.525 9.525 Å, 157.18 157.18 32.50°
Fractional coordinates of all 5 atoms:
Ge (0.000, 0.000, 0.000)
As (0.250, 0.750, 0.500)
As (0.750, 0.250, 0.500)
Pb (0.400, 0.400, 0.000)
Pb (0.600, 0.600, 0.000)

Properties
DOS(E_F)   2.26 states/eV/cell
Polymorph energy (0 for the lowest one)   6.0 meV/atom
DFT formation energy   0.96 eV/f.u.
Space-group type   No. 139
Calculated total energy   -4.07 eV per atom


DFT (GGA-PBE) results for crystalline Ta2CuBr at its relaxed geometry.

Cell: 5.516 5.516 5.516 Å, 147.87 128.95 61.61°
Fractional coordinates of all 4 atoms:
Ta (0.000, 0.000, 0.000)
Ta (0.723, 0.223, 0.500)
Cu (0.480, 0.480, 0.000)
Br (0.225, 0.725, 0.500)

Properties
DOS(E_F)   4.30 states/eV/cell
Polymorph energy (0 for the lowest one)   303.4 meV/atom
Space-group type   No. 44
Formation energy without anion corrections   0.571 eV per atom
Calculated total energy   -6.80 eV per atom


DFT (GGA-PBE) results for crystalline Ge3TeP at its relaxed geometry.

Cell: 4.925 4.925 4.925 Å, 90.00 90.00 90.00°
Fractional coordinates of all 5 atoms:
Ge (0.000, 0.000, 0.500)
Ge (0.000, 0.500, 0.000)
Ge (0.500, 0.000, 0.000)
Te (0.500, 0.500, 0.500)
P (0.000, 0.000, 0.000)

Properties
DOS(E_F)   3.26 states/eV/cell
Polymorph energy (0 for the lowest one)   0.0 meV/atom
Space-group type   No. 221
Formation energy without anion corrections   0.491 eV per atom
Calculated total energy   -3.99 eV per atom


DFT (GGA-PBE) results for crystalline DyHo3S4 at its relaxed geometry.

Cell: 5.501 5.501 5.501 Å, 90.00 90.00 90.00°
Fractional coordinates of all 8 atoms:
Dy (0.000, 0.000, 0.000)
Ho (0.000, 0.500, 0.500)
Ho (0.500, 0.000, 0.500)
Ho (0.500, 0.500, 0.000)
S (0.000, 0.000, 0.500)
S (0.000, 0.500, 0.000)
S (0.500, 0.000, 0.000)
S (0.500, 0.500, 0.500)

Properties
DOS(E_F)   4.45 states/eV/cell
Polymorph energy (0 for the lowest one)   8.9 meV/atom
Space-group type   No. 221
Formation energy without anion corrections   -1.968 eV per atom
Calculated total energy   -6.32 eV per atom


DFT (GGA-PBE) results for crystalline TaAl2Os at its relaxed geometry.

Cell: 4.844 4.844 4.695 Å, 104.07 104.07 36.03°
Fractional coordinates of all 4 atoms:
Ta (0.000, 0.000, 0.000)
Al (0.238, 0.238, 0.735)
Al (0.762, 0.762, 0.265)
Os (0.500, 0.500, 0.500)

Properties
DOS(E_F)   1.68 states/eV/cell
Polymorph energy (0 for the lowest one)   173.1 meV/atom
DFT formation energy   -0.85 eV/f.u.
Space-group type   No. 12
Calculated total energy   -7.85 eV per atom


DFT (GGA-PBE) results for crystalline Ca2TaAg at its relaxed geometry.

Cell: 5.579 5.579 3.259 Å, 90.00 90.00 90.00°
Fractional coordinates of all 4 atoms:
Ca (0.000, 0.500, 0.000)
Ca (0.500, 0.000, 0.000)
Ta (0.000, 0.000, 0.500)
Ag (0.500, 0.500, 0.500)

Properties
DOS(E_F)   2.93 states/eV/cell
Polymorph energy (0 for the lowest one)   208.8 meV/atom
DFT formation energy   2.21 eV/f.u.
Space-group type   No. 123
Calculated total energy   -4.12 eV per atom


DFT (GGA-PBE) results for crystalline AlHgSb2 at its relaxed geometry.

Cell: 3.244 3.244 9.613 Å, 90.00 90.00 105.08°
Fractional coordinates of all 4 atoms:
Al (0.000, 0.000, 0.000)
Hg (0.500, 0.500, 0.214)
Sb (0.000, 0.000, 0.475)
Sb (0.500, 0.500, 0.773)

Properties
DOS(E_F)   2.02 states/eV/cell
Polymorph energy (0 for the lowest one)   150.7 meV/atom
Space-group type   No. 35
Formation energy without anion corrections   0.211 eV per atom
Calculated total energy   -2.86 eV per atom


DFT (GGA-PBE) results for crystalline AcGa4Cu2Hg at its relaxed geometry.

Cell: 10.413 10.413 10.413 Å, 23.99 23.99 23.99°
Fractional coordinates of all 8 atoms:
Ac (0.000, 0.000, 0.000)
Ga (0.114, 0.114, 0.114)
Ga (0.404, 0.404, 0.404)
Ga (0.596, 0.596, 0.596)
Ga (0.886, 0.886, 0.886)
Cu (0.254, 0.254, 0.254)
Cu (0.746, 0.746, 0.746)
Hg (0.500, 0.500, 0.500)

Properties
DOS(E_F)   3.12 states/eV/cell
DFT formation energy   -1.34 eV/f.u.
Space-group type   No. 166
Calculated total energy   -3.26 eV per atom